! Sb3MoRh | the Alexandria database | PBE | optimized geometry; values from VASP
&SYSTEM
  ibrav = 0, nat = 5, ntyp = 3
/
ATOMIC_SPECIES
Sb 121.76 Sb.upf
Mo 95.94 Mo.upf
Rh 102.91 Rh.upf
CELL_PARAMETERS angstrom
5.106 0.000 0.000
0.000 5.106 0.000
0.000 0.000 5.106
ATOMIC_POSITIONS crystal
Sb 0.000 0.000 0.500
Sb 0.000 0.500 0.000
Sb 0.500 0.000 0.000
Mo 0.500 0.500 0.500
Rh 0.000 0.000 0.000
! SG: No. 221
! Density (g cm⁻³): 7.04
! ΔE_f (raw) (eV per atom): 0.89
! Energy above the most stable polymorph in this dataset (kJ per mole of atoms): 0.0
! M_tot (μB/atom): 0.619

---

! HfTi2Ge | the Alexandria database | PBE | optimized geometry; values from VASP
&SYSTEM
  ibrav = 0, nat = 4, ntyp = 3
/
ATOMIC_SPECIES
Hf 178.49 Hf.upf
Ti 47.87 Ti.upf
Ge 72.64 Ge.upf
CELL_PARAMETERS angstrom
4.108 0.000 0.000
0.000 4.108 0.000
0.000 0.000 4.121
ATOMIC_POSITIONS crystal
Hf 0.000 0.000 0.000
Ti 0.000 0.500 0.500
Ti 0.500 0.000 0.500
Ge 0.500 0.500 0.000
! SG: No. 123
! Calculated formation energy (meV per atom): -335
! Density (g cm⁻³): 8.28
! M_tot (μB/atom): 0.000